No. 1
Computed, not measured: a relaxed structure of Cs2In2I5 at the PBE level of DFT.

## Properties
crystal system = monoclinic
formation energy without anion corrections = -0.921 eV per atom
D(E_F) = 2.86 states/eV per cell
energy above the lowest structure with this stoichiometry = 19 meV per atom

Lattice parameters (Å, degrees): 6.542 9.386 9.140 113.10 90.00 110.40
Positions (direct):
Cs1 0.392 0.785 0.701
Cs2 0.608 0.215 0.299
In1 0.147 0.293 0.879
In2 0.853 0.707 0.121
I1 0.348 0.696 0.106
I2 0.652 0.304 0.894
I3 0.150 0.300 0.547
I4 0.850 0.700 0.453
I5 0.000 0.000 0.000

No. 2
Computed, not measured: a relaxed structure of Cs3InI8 at the PBE level of DFT.

## Properties
crystal system = tetragonal
formation energy without anion corrections = -0.673 eV per atom
D(E_F) = 19.27 states/eV per cell

Lattice parameters (Å, degrees): 8.675 8.675 10.644 114.05 114.05 90.00
Positions (direct):
Cs1 0.750 0.250 0.500
Cs2 0.500 0.500 0.000
Cs3 0.250 0.750 0.500
In1 0.000 0.000 0.000
I1 0.323 0.323 0.217
I2 0.323 0.893 0.217
I3 0.107 0.677 0.783
I4 0.107 0.107 0.783
I5 0.893 0.893 0.217
I6 0.893 0.323 0.217
I7 0.677 0.107 0.783
I8 0.677 0.677 0.783

No. 3
Computed, not measured: a relaxed structure of Cs3InI6 at the PBE level of DFT.

## Properties
crystal system = orthorhombic
formation energy without anion corrections = -1.122 eV per atom
energy above the lowest structure with this stoichiometry = 0 meV per atom

Lattice parameters (Å, degrees): 9.197 12.010 12.010 99.82 90.00 90.00
Positions (direct):
Cs1 0.471 0.900 0.705
Cs2 0.971 0.705 0.900
Cs3 0.376 0.428 0.572
Cs4 0.876 0.572 0.428
Cs5 0.971 0.100 0.295
Cs6 0.471 0.295 0.100
In1 0.059 0.187 0.813
In2 0.559 0.813 0.187
I1 0.165 0.706 0.632
I2 0.665 0.632 0.706
I3 0.176 0.400 0.885
I4 0.676 0.885 0.400
I5 0.167 0.046 0.954
I6 0.759 0.189 0.811
I7 0.259 0.811 0.189
I8 0.667 0.954 0.046
I9 0.176 0.115 0.600
I10 0.676 0.600 0.115
I11 0.165 0.368 0.294
I12 0.665 0.294 0.368

No. 4
Computed, not measured: a relaxed structure of Cs2InI at the PBE level of DFT.

## Properties
crystal system = tetragonal
formation energy without anion corrections = -0.445 eV per atom
D(E_F) = 2.16 states/eV per cell
energy above the lowest structure with this stoichiometry = 6 meV per atom

Lattice parameters (Å, degrees): 10.590 10.590 8.694 52.48 52.48 90.00
Positions (direct):
Cs1 0.650 0.125 0.250
Cs2 0.100 0.625 0.250
Cs3 0.375 0.350 0.750
Cs4 0.875 0.900 0.750
I1 0.000 0.000 0.000
I2 0.750 0.250 0.500
In1 0.500 0.500 0.000
In2 0.250 0.750 0.500

No. 5
Computed, not measured: a relaxed structure of CsIn3I4 at the PBE level of DFT.

## Properties
crystal system = monoclinic
formation energy without anion corrections = -0.709 eV per atom
D(E_F) = 0.00 states/eV per cell
energy above the lowest structure with this stoichiometry = 0 meV per atom

Lattice parameters (Å, degrees): 5.114 8.866 8.866 70.59 89.89 89.89
Positions (direct):
Cs1 0.500 0.500 0.000
I1 0.000 0.768 0.732
I2 0.500 0.758 0.259
I3 0.000 0.232 0.268
I4 0.500 0.242 0.742
In1 0.500 0.000 0.500
In2 0.000 0.000 0.000
In3 0.000 0.500 0.500

No. 6
Computed, not measured: a relaxed structure of Cs3In2I6 at the PBE level of DFT.

## Properties
crystal system = tetragonal
formation energy without anion corrections = -1.054 eV per atom
D(E_F) = 3.55 states/eV per cell

Lattice parameters (Å, degrees): 6.315 6.315 15.628 101.66 101.66 90.00
Positions (direct):
Cs1 0.000 0.000 0.000
Cs2 0.827 0.827 0.653
Cs3 0.173 0.173 0.347
In1 0.403 0.403 0.807
In2 0.597 0.597 0.193
I1 0.084 0.584 0.168
I2 0.584 0.084 0.168
I3 0.916 0.416 0.832
I4 0.416 0.916 0.832
I5 0.698 0.698 0.396
I6 0.302 0.302 0.604

- The highest formation energy without anion corrections belongs to which entry?
  Cs2InI